a:
! KSmI4, relaxed, DFT GGA-PBE; values from VASP
! symmetry	C2/c
&SYSTEM
  ibrav = 0, nat = 12, ntyp = 3
/
ATOMIC_SPECIES
K 39.10 K.upf
Sm 150.36 Sm.upf
I 126.90 I.upf
ATOMIC_POSITIONS angstrom
K 2.0577 5.9328 4.6605
K 4.3409 -5.9328 1.5535
Sm 4.3409 1.3798 1.5535
Sm 2.0577 -1.3798 4.6605
I 2.2590 3.5178 1.9332
I -0.3248 0.7892 4.7009
I 1.9584 -0.7892 1.5939
I 6.4228 3.5178 1.1737
I -0.0242 -3.5178 5.0402
I 4.4402 0.7892 4.6200
I 6.7234 -0.7892 1.5130
I 4.1396 -3.5178 4.2807
CELL_PARAMETERS angstrom
5.4825 -8.7963 0.0000
5.4825 8.7963 0.0000
-4.5664 0.0000 6.2140

***

b:
! KSmI4, relaxed, DFT GGA-PBE; values from VASP
! symmetry	C2/m
&SYSTEM
  ibrav = 0, nat = 6, ntyp = 3
/
ATOMIC_SPECIES
K 39.10 K.upf
Sm 150.36 Sm.upf
I 126.90 I.upf
ATOMIC_POSITIONS angstrom
K 0.0000 0.0000 0.0000
Sm 6.7024 0.0000 4.3348
I 1.0614 0.0000 3.5004
I 5.4754 0.0000 1.5384
I 7.9294 0.0000 7.1311
I 12.3434 0.0000 5.1691
CELL_PARAMETERS angstrom
7.6246 -2.3093 0.0000
7.6246 2.3093 0.0000
-1.8443 0.0000 8.6695

***

b is favored, and the nearest alternative lies 0.010 eV/atom above it.